a.
Here is a geometry-optimized TaHgS2Cl structure from Alexandria. Energies are from GGA-PBE.

Results
As for the density of states at the Fermi level: 0.5821 states/eV/atom.

Cell: 4.813 4.813 4.984 Å, 90.00 90.00 90.00°
Atoms (fractional coordinates):
Hg (0.500, 0.500, 0.500)
S (0.500, 0.000, 0.000)
S (0.000, 0.500, 0.000)
Ta (0.000, 0.000, 0.000)
Cl (0.000, 0.000, 0.500)

b.
Here is a geometry-optimized TaHgS2Cl structure from Alexandria. Energies are from GGA-PBE.

Results
As for the density of states at the Fermi level: 1.0511 states/eV/atom.

Cell: 4.940 4.940 5.028 Å, 90.00 90.00 90.00°
Last column: magnetic moment on the atom in μB.
Atoms (fractional coordinates):
S (0.000, 0.500, 0.000)  -0.15
S (0.500, 0.000, 0.000)  -0.15
Ta (0.500, 0.500, 0.500)  2.01
Hg (0.000, 0.000, 0.000)  0.01
Cl (0.000, 0.000, 0.500)  -0.03

Which of them is most stable, and which least? Most stable: a; least stable: b.

a.
Here is a geometry-optimized TcHgS2Cl structure from Alexandria. Energies are from GGA-PBE.

Results
As for the density of states at the Fermi level: 1.0743 states/eV/atom.

Cell: 4.604 4.604 5.079 Å, 90.00 90.00 90.00°
Atoms (fractional coordinates):
Tc (0.000, 0.000, 0.000)
S (0.000, 0.500, 0.000)
S (0.500, 0.000, 0.000)
Hg (0.500, 0.500, 0.500)
Cl (0.000, 0.000, 0.500)

b.
Here is a geometry-optimized TcHgS2Cl structure from Alexandria. Energies are from GGA-PBE.

Results
As for the density of states at the Fermi level: 0.5971 states/eV/atom.

Cell: 4.991 4.991 5.154 Å, 90.00 90.00 90.00°
Last column: magnetic moment on the atom in μB.
Atoms (fractional coordinates):
S (0.000, 0.500, 0.000)  0.04
S (0.500, 0.000, 0.000)  0.04
Tc (0.500, 0.500, 0.500)  4.08
Hg (0.000, 0.000, 0.000)  0.00
Cl (0.000, 0.000, 0.500)  0.06

Which of them is most stable, and which least? Most stable: a; least stable: b.

a.
Here is a geometry-optimized TiHgSCl2 structure from Alexandria. Energies are from GGA-PBE.

Results
As for the density of states at the Fermi level: 2.5726 states/eV/atom.

Cell: 5.157 5.157 5.104 Å, 90.00 90.00 90.00°
Last column: magnetic moment on the atom in μB.
Atoms (fractional coordinates):
Ti (0.500, 0.500, 0.500)  -0.05
S (0.000, 0.000, 0.500)  -0.04
Cl (0.000, 0.500, 0.000)  0.00
Cl (0.500, 0.000, 0.000)  0.00
Hg (0.000, 0.000, 0.000)  0.00

b.
Here is a geometry-optimized TiHgSCl2 structure from Alexandria. Energies are from GGA-PBE.

Results
As for the density of states at the Fermi level: 0.5553 states/eV/atom.

Cell: 4.913 4.913 4.733 Å, 90.00 90.00 90.00°
Atoms (fractional coordinates):
Ti (0.000, 0.000, 0.000)
Hg (0.500, 0.500, 0.500)
Cl (0.500, 0.000, 0.000)
Cl (0.000, 0.500, 0.000)
S (0.000, 0.000, 0.500)

Which of them is most stable, and which least? Most stable: b; least stable: a.